Record 1
VASP calculation (PBE-GGA) on a relaxed structure of KNd2Sn3Se6.

Cell lengths 4.4660, 8.5741, 9.6936 Å; angles 101.07, 103.32, 90.00 degrees
Positions (direct):
Se 0.3192 0.9049 0.6383
Se 0.6808 0.0951 0.3617
Se 0.3324 0.4261 0.6647
Se 0.9868 0.7278 0.9736
Se 0.6676 0.5739 0.3353
Se 0.0132 0.2722 0.0264
Sn 0.1631 0.8553 0.3263
Sn 0.8369 0.1447 0.6737
Sn 0.5000 0.5000 0.0000
Nd 0.8316 0.6656 0.6633
Nd 0.1684 0.3344 0.3367
K 0.5000 0.0000 0.0000

Formation energy without anion corrections = -1.021 eV per atom
Symmetry = C2/m (12)

Record 2
VASP calculation (PBE-GGA) on a relaxed structure of K3Nd2SnSe6.

Cell lengths 7.4801, 7.4801, 8.0938 Å; angles 98.86, 98.86, 120.00 degrees
Positions (direct):
Nd 0.6667 0.3333 0.0000
Nd 0.3333 0.6667 0.0000
Se 0.2575 0.2575 0.7918
Se 0.9305 0.6036 0.7915
Se 0.0695 0.3964 0.2085
Se 0.7425 0.7425 0.2082
Se 0.6036 0.9305 0.7915
Se 0.3964 0.0695 0.2085
K 0.5000 0.5000 0.5000
K 0.1663 0.8337 0.5000
K 0.8337 0.1663 0.5000
Sn 0.0000 0.0000 0.0000

Formation energy without anion corrections = -1.393 eV per atom
Symmetry = C2/m (12)

Record 3
VASP calculation (PBE-GGA) on a relaxed structure of KSr2NdSe4.

Cell lengths 4.4291, 7.5952, 7.7414 Å; angles 71.43, 90.00, 90.00 degrees
Positions (direct):
Nd 0.0000 0.5000 0.5000
Se 0.5000 0.2595 0.7336
Se 0.0000 0.7515 0.7290
Se 0.0000 0.2485 0.2710
Se 0.5000 0.7405 0.2664
Sr 0.5000 0.0000 0.5000
Sr 0.0000 0.0000 0.0000
K 0.5000 0.5000 0.0000

Formation energy without anion corrections = -1.848 eV per atom
Symmetry = P2/m (10)

Record 4
VASP calculation (PBE-GGA) on a relaxed structure of K3Nd3TaSe8.

Cell lengths 8.3889, 8.3896, 9.2583 Å; angles 116.94, 90.00, 120.00 degrees
Positions (direct):
Se 0.2617 0.5235 0.2854
Se 0.2356 0.0199 0.3044
Se 0.7843 0.5686 0.3043
Se 0.2157 0.4314 0.6957
Se 0.7644 0.9801 0.6956
Se 0.2156 0.9801 0.6956
Se 0.7844 0.0199 0.3044
Se 0.7383 0.4765 0.7146
K 0.5000 0.5000 0.0000
K 0.0000 0.5000 0.0000
K 0.0000 0.0000 0.0000
Nd 0.0000 0.5000 0.5000
Nd 0.5000 0.0000 0.5000
Nd 0.5000 0.5000 0.5000
Ta 0.0000 0.0000 0.5000

Formation energy without anion corrections = -1.486 eV per atom
Symmetry = R-3m (166)